VASP calculation (PBE-GGA) on a geometry-optimized La6P3Se2Br structure.

Cell lengths 9.680, 9.680, 8.701 Å; angles 104.38, 104.38, 25.45 degrees
Atoms (fractional coordinates):
La1 0.005 0.005 0.227
La2 0.325 0.325 0.425
La3 0.337 0.337 0.907
La4 0.663 0.663 0.093
La5 0.675 0.675 0.575
La6 0.995 0.995 0.773
P1 0.165 0.165 0.333
P2 0.500 0.500 0.000
P3 0.835 0.835 0.667
Se1 0.165 0.165 0.830
Se2 0.835 0.835 0.170
Br1 0.500 0.500 0.500

- DOS at the Fermi energy: 5.92 states/eV/cell
- Calculated volume: 28.23 Å³/atom
- ΔE_f (raw): -1.780 eV per atom
- Magnetic moment: 0.00 μB/cell
- Uncorrected energy: -6.32 eV/atom